No. 1
First-principles (PBE) data for Pr5Sm2Er2 after structural relaxation, as listed in Alexandria via LeMat-Bulk.

The structure belongs to space group Ima2 (No. 46); the cell edges are 15.317, 13.045 and 6.272 Å and the angles 90.00°, 90.00° and 90.00°. The asymmetric unit holds Pr at (0.048, 0.197, 0.000), Pr at (0.144, 0.685, 0.850), Pr at (0.250, 0.175, 0.762), Sm at (0.000, 0.000, 0.423), Sm at (0.250, 0.058, 0.286) and Er at (0.137, 0.551, 0.355).

For the formation energy, the calculation gives 140 kJ/mol of formula units.

No. 2
First-principles (PBE) data for PrSm2Er7 after structural relaxation, as listed in Alexandria via LeMat-Bulk.

The structure belongs to space group Cmmm (No. 65); the cell edges are 8.614, 16.949 and 5.311 Å and the angles 90.00°, 90.00° and 90.00°. The asymmetric unit holds Pr at (0.000, 0.000, 0.000), Sm at (0.000, 0.298, 0.500), Er at (0.000, 0.202, 0.000), Er at (0.000, 0.500, 0.500) and Er at (0.178, 0.111, 0.500).

For the formation energy, the calculation gives 675 kJ/mol of formula units.

No. 3
First-principles (PBE) data for PrSm4Er6 after structural relaxation, as listed in Alexandria via LeMat-Bulk.

The structure belongs to space group I-42m (No. 121); the cell edges are 6.633, 6.633 and 16.950 Å and the angles 90.00°, 90.00° and 90.00°. The asymmetric unit holds Pr at (0.000, 0.000, 0.000), Sm at (0.189, 0.189, 0.825), Er at (0.000, 0.500, 0.000) and Er at (0.178, 0.178, 0.627).

For the formation energy, the calculation gives 336 kJ/mol of formula units.

No. 4
First-principles (PBE) data for Pr12Sm2Er7 after structural relaxation, as listed in Alexandria via LeMat-Bulk.

The structure belongs to space group P-6 (No. 174); the cell edges are 15.1886, 15.1886 and 3.5962 Å and the angles 90.00°, 90.00° and 120.00°. The asymmetric unit holds Pr at (0.0514, 0.2549, 0.0000), Pr at (0.1267, 0.7121, 0.5000), Pr at (0.4138, 0.1516, 0.5000), Pr at (0.4953, 0.3983, 0.0000), Sm at (0.0000, 0.0000, 0.5000), Sm at (0.3333, 0.6667, 0.0000), Er at (0.0993, 0.4786, 0.5000), Er at (0.2313, 0.1862, 0.0000) and Er at (0.6667, 0.3333, 0.5000).

For the formation energy, the calculation gives 95 kJ/mol of formula units.

No. 5
First-principles (PBE) data for PrSm2Er4 after structural relaxation, as listed in Alexandria via LeMat-Bulk.

The structure belongs to space group C2/m (No. 12); the cell edges are 16.749, 3.539 and 8.776 Å and the angles 90.00°, 119.73° and 90.00°. The asymmetric unit holds Pr at (0.000, 0.000, 0.000), Sm at (0.069, 0.000, 0.429), Er at (0.146, 0.500, 0.841) and Er at (0.207, 0.500, 0.294).

For the formation energy, the calculation gives 27 kJ/mol of formula units.

No. 6
First-principles (PBE) data for PrSmEr3 after structural relaxation, as listed in Alexandria via LeMat-Bulk.

The structure belongs to space group P2_1/m (No. 11); the cell edges are 5.672, 10.826 and 6.424 Å and the angles 90.00°, 116.08° and 90.00°. The asymmetric unit holds Pr at (0.140, 0.250, 0.281), Sm at (0.460, 0.750, 0.918), Er at (0.166, 0.750, 0.331) and Er at (0.348, 0.024, 0.697).

For the formation energy, the calculation gives 183 kJ/mol of formula units.

No. 7
First-principles (PBE) data for PrSm12Er3 after structural relaxation, as listed in Alexandria via LeMat-Bulk.

The structure belongs to space group P4/mmm (No. 123); the cell edges are 5.105, 5.105 and 20.394 Å and the angles 90.00°, 90.00° and 90.00°. The asymmetric unit holds Pr at (0.000, 0.000, 0.000), Sm at (0.000, 0.500, 0.128), Sm at (0.000, 0.500, 0.376), Sm at (0.500, 0.500, 0.000), Sm at (0.500, 0.500, 0.252), Sm at (0.500, 0.500, 0.500), Er at (0.000, 0.000, 0.252) and Er at (0.000, 0.000, 0.500).

For the formation energy, the calculation gives 27 kJ/mol of formula units.

No. 8
First-principles (PBE) data for Pr5Sm6Er2 after structural relaxation, as listed in Alexandria via LeMat-Bulk.

The structure belongs to space group Pbam (No. 55); the cell edges are 11.799, 20.934 and 3.651 Å and the angles 90.00°, 90.00° and 90.00°. The asymmetric unit holds Pr at (0.000, 0.000, 0.000), Pr at (0.085, 0.273, 0.000), Pr at (0.197, 0.554, 0.000), Sm at (0.063, 0.419, 0.500), Sm at (0.082, 0.132, 0.500), Sm at (0.174, 0.861, 0.000) and Er at (0.171, 0.711, 0.500).

For the formation energy, the calculation gives 114 kJ/mol of formula units.

No. 9
First-principles (PBE) data for Pr5Sm12Er2 after structural relaxation, as listed in Alexandria via LeMat-Bulk.

The structure belongs to space group C2/m (No. 12); the cell edges are 18.057, 11.825 and 6.261 Å and the angles 90.00°, 102.91° and 90.00°. The asymmetric unit holds Pr at (0.000, 0.000, 0.000), Pr at (0.176, 0.500, 0.358), Pr at (0.215, 0.000, 0.055), Sm at (0.052, 0.500, 0.774), Sm at (0.102, 0.254, 0.119), Sm at (0.119, 0.000, 0.498), Sm at (0.196, 0.254, 0.699) and Er at (0.000, 0.230, 0.500).

For the formation energy, the calculation gives 184 kJ/mol of formula units.

No. 10
First-principles (PBE) data for PrSm2Er2 after structural relaxation, as listed in Alexandria via LeMat-Bulk.

The structure belongs to space group P4/mbm (No. 127); the cell edges are 9.404, 9.404 and 3.789 Å and the angles 90.00°, 90.00° and 90.00°. The asymmetric unit holds Pr at (0.000, 0.000, 0.000), Sm at (0.127, 0.373, 0.000) and Er at (0.170, 0.670, 0.500).

For the formation energy, the calculation gives 39 kJ/mol of formula units.

No. 11
First-principles (PBE) data for Pr2Sm5Er3 after structural relaxation, as listed in Alexandria via LeMat-Bulk.

The structure belongs to space group C2/c (No. 15); the cell edges are 10.861, 15.916 and 9.552 Å and the angles 90.00°, 124.25° and 90.00°. The asymmetric unit holds Pr at (0.142, 0.124, 0.050), Sm at (0.000, 0.231, 0.250), Sm at (0.000, 0.271, 0.750), Sm at (0.000, 0.468, 0.750), Sm at (0.230, 0.384, 0.217), Er at (0.000, 0.024, 0.250) and Er at (0.159, 0.381, 0.546).

For the formation energy, the calculation gives 182 kJ/mol of formula units.

No. 12
First-principles (PBE) data for PrSm7Er3 after structural relaxation, as listed in Alexandria via LeMat-Bulk.

The structure belongs to space group P3m1 (No. 156); the cell edges are 7.1660, 7.1660 and 8.6488 Å and the angles 90.00°, 90.00° and 120.00°. The asymmetric unit holds Pr at (0.0000, 0.0000, 0.0000), Sm at (0.0019, 0.5010, 0.0132), Sm at (0.3318, 0.1659, 0.6678), Sm at (0.3333, 0.6667, 0.6802) and Er at (0.1671, 0.3343, 0.3417).

For the formation energy, the calculation gives 204 kJ/mol of formula units.

Calculated V (Å³ per cell), listed in the same order as above: 1253.31 775.43 745.72 718.48 451.70 354.25 531.55 901.86 1303.21 335.02 1364.74 384.63